No. 1
! Ba14Cd6Rh3 | Alexandria via LeMat-Bulk | PBE-GGA | relaxed; values from VASP
&SYSTEM
  ibrav = 0, nat = 23, ntyp = 3
/
ATOMIC_SPECIES
Ba 137.33 Ba.upf
Cd 112.41 Cd.upf
Rh 102.91 Rh.upf
CELL_PARAMETERS angstrom
12.0778 0.0000 0.0000
-6.0389 10.4596 0.0000
0.0000 0.0000 8.0503
ATOMIC_POSITIONS crystal
Ba 0.0000 0.0000 0.0000
Ba 0.1021 0.5510 0.6213
Ba 0.2174 0.4348 0.1499
Ba 0.2174 0.7826 0.1499
Ba 0.2562 0.1281 0.4222
Ba 0.4093 0.2046 0.9185
Ba 0.4490 0.5510 0.6213
Ba 0.4490 0.8979 0.6213
Ba 0.5652 0.7826 0.1499
Ba 0.6667 0.3333 0.4907
Ba 0.7954 0.2046 0.9185
Ba 0.7954 0.5907 0.9185
Ba 0.8719 0.1281 0.4222
Ba 0.8719 0.7438 0.4222
Cd 0.1304 0.2607 0.7198
Cd 0.1304 0.8696 0.7198
Cd 0.5372 0.0744 0.2139
Cd 0.5372 0.4628 0.2139
Cd 0.7393 0.8696 0.7198
Cd 0.9256 0.4628 0.2139
Rh 0.0000 0.0000 0.6300
Rh 0.3333 0.6667 0.3909
Rh 0.6667 0.3333 0.1202
! **VASP energy**: -2.590 eV per atom
! **Crystal system**: trigonal
! **Formation enthalpy at 0 K**: -5.1 eV/f.u.
! **Symmetry**: No. 156



No. 2
! Ba2CdRh | Alexandria via LeMat-Bulk | PBE-GGA | relaxed; values from VASP
&SYSTEM
  ibrav = 0, nat = 4, ntyp = 3
/
ATOMIC_SPECIES
Ba 137.33 Ba.upf
Cd 112.41 Cd.upf
Rh 102.91 Rh.upf
CELL_PARAMETERS angstrom
4.1260 -2.3735 0.0000
4.1260 2.3735 0.0000
-2.7487 0.0000 8.3174
ATOMIC_POSITIONS crystal
Ba 0.0000 0.0000 0.0000
Ba 0.1673 0.1673 0.5025
Cd 0.7511 0.7511 0.2517
Rh 0.4176 0.4176 0.2492
! **VASP energy**: -3.274 eV per atom
! **Crystal system**: monoclinic
! **Formation enthalpy at 0 K**: -1.0 eV/f.u.
! **Symmetry**: No. 8



No. 3
! BaCd8Rh4 | Alexandria via LeMat-Bulk | PBE-GGA | relaxed; values from VASP
&SYSTEM
  ibrav = 0, nat = 13, ntyp = 3
/
ATOMIC_SPECIES
Ba 137.33 Ba.upf
Cd 112.41 Cd.upf
Rh 102.91 Rh.upf
CELL_PARAMETERS angstrom
-4.7649 4.7649 2.9514
4.7649 -4.7649 2.9514
4.7649 4.7649 -2.9514
ATOMIC_POSITIONS crystal
Ba 0.0000 0.0000 0.0000
Cd 0.0000 0.3362 0.3362
Cd 0.0000 0.6638 0.6638
Cd 0.2717 0.5000 0.7717
Cd 0.3362 0.0000 0.3362
Cd 0.5000 0.2717 0.7717
Cd 0.5000 0.7283 0.2283
Cd 0.6638 0.0000 0.6638
Cd 0.7283 0.5000 0.2283
Rh 0.0000 0.0000 0.5000
Rh 0.0000 0.5000 0.0000
Rh 0.5000 0.0000 0.0000
Rh 0.5000 0.5000 0.5000
! **VASP energy**: -3.171 eV per atom
! **Crystal system**: tetragonal
! **Formation enthalpy at 0 K**: -2.6 eV/f.u.
! **Symmetry**: No. 139



No. 4
! BaCd3Rh | Alexandria via LeMat-Bulk | PBE-GGA | relaxed; values from VASP
&SYSTEM
  ibrav = 0, nat = 10, ntyp = 3
/
ATOMIC_SPECIES
Ba 137.33 Ba.upf
Cd 112.41 Cd.upf
Rh 102.91 Rh.upf
CELL_PARAMETERS angstrom
5.9037 0.0000 0.0000
0.4509 7.0382 0.0000
2.0125 3.2772 6.1789
ATOMIC_POSITIONS crystal
Ba 0.1976 0.0580 0.1595
Ba 0.8024 0.9420 0.8405
Cd 0.0782 0.4992 0.6761
Cd 0.3107 0.6485 0.9163
Cd 0.3890 0.1589 0.5703
Cd 0.6110 0.8411 0.4297
Cd 0.6893 0.3515 0.0837
Cd 0.9218 0.5008 0.3239
Rh 0.4270 0.5867 0.2907
Rh 0.5730 0.4133 0.7093
! **VASP energy**: -2.636 eV per atom
! **Crystal system**: triclinic
! **Distance to the lowest polymorph of the same formula**: 28.9 meV/atom
! **Formation enthalpy at 0 K**: -1.2 eV/f.u.
! **Symmetry**: No. 2



No. 5
! BaCd2Rh2 | Alexandria via LeMat-Bulk | PBE-GGA | relaxed; values from VASP
&SYSTEM
  ibrav = 0, nat = 5, ntyp = 3
/
ATOMIC_SPECIES
Ba 137.33 Ba.upf
Cd 112.41 Cd.upf
Rh 102.91 Rh.upf
CELL_PARAMETERS angstrom
-2.2858 2.2858 5.6722
2.2858 -2.2858 5.6722
2.2858 2.2858 -5.6722
ATOMIC_POSITIONS crystal
Ba 0.0000 0.0000 0.0000
Cd 0.2500 0.7500 0.5000
Cd 0.7500 0.2500 0.5000
Rh 0.3901 0.3901 0.0000
Rh 0.6099 0.6099 0.0000
! **VASP energy**: -3.867 eV per atom
! **Crystal system**: tetragonal
! **Distance to the lowest polymorph of the same formula**: 14.7 meV/atom
! **Formation enthalpy at 0 K**: -0.9 eV/f.u.
! **Symmetry**: No. 139



No. 6
! BaCd2Rh | Alexandria via LeMat-Bulk | PBE-GGA | relaxed; values from VASP
&SYSTEM
  ibrav = 0, nat = 4, ntyp = 3
/
ATOMIC_SPECIES
Ba 137.33 Ba.upf
Cd 112.41 Cd.upf
Rh 102.91 Rh.upf
CELL_PARAMETERS angstrom
3.4565 0.0000 0.0000
0.0000 3.4565 0.0000
0.0000 0.0000 8.2235
ATOMIC_POSITIONS crystal
Ba 0.0000 0.0000 0.0000
Cd 0.5000 0.5000 0.3198
Cd 0.5000 0.5000 0.6802
Rh 0.0000 0.0000 0.5000
! **VASP energy**: -2.853 eV per atom
! **Crystal system**: tetragonal
! **Formation enthalpy at 0 K**: -0.3 eV/f.u.
! **Symmetry**: No. 123